This record from Alexandria via LeMat-Bulk describes a geometry-optimized Mn2TlCuI8 structure. The functional is PBE.

Cell and atoms, written as CIF:
```
data_Mn2TlCuI8
_chemical_formula_sum 'Mn2 Tl1 Cu1 I8'
_cell_length_a 7.2888
_cell_length_b 7.2888
_cell_length_c 9.9198
_cell_angle_alpha 90.00
_cell_angle_beta 90.00
_cell_angle_gamma 120.00
_space_group_name_H-M_alt 'P -3'
_space_group_IT_number 147
loop_
_space_group_symop_operation_xyz
'x,y,z'
'-x,-y,-z'
'-y,x-y,z'
'y,-x+y,-z'
'-x+y,-x,z'
'x-y,x,-z'
loop_
_atom_site_label
_atom_site_fract_x
_atom_site_fract_y
_atom_site_fract_z
Mn1 0.3333 0.6667 0.2389
Tl1 0.0000 0.0000 0.5000
Cu1 0.0000 0.0000 0.0000
I1 0.0030 0.6933 0.8298
I2 0.3333 0.6667 0.5003
```

Summary:
As for the total energy: -3.389 eV/atom. The calculation puts the formation energy (no corrections) at -0.29 eV/atom. As for the density of states at the Fermi level: 6.02 states/eV per cell.